Entry 1:
Computed, not measured: CaSmSn2 after structural relaxation at the PBE-GGA level of DFT.

abc: 4.314 6.261 8.774
angles: 90.00 90.00 90.00
Sites, in units of the cell vectors:
Ca1 0.000 0.124 0.000
Ca2 0.000 0.876 0.500
Sm1 0.500 0.365 0.635
Sm2 0.500 0.635 0.135
Sn1 0.000 0.412 0.360
Sn2 0.000 0.588 0.860
Sn3 0.500 0.110 0.276
Sn4 0.500 0.890 0.776

Values from the calculation:
Symmetry: Pmc2_1 (26)
Total moment: 0.0 μB per cell
Uncorrected energy: -4.358 eV/atom

Entry 2:
Computed, not measured: Tb2CeY6Tm3 after structural relaxation at the PBE-GGA level of DFT.

abc: 6.151 6.151 11.760
angles: 95.00 95.00 119.97
Sites, in units of the cell vectors:
Tb1 0.167 0.833 0.000
Tb2 0.833 0.167 0.000
Ce1 0.500 0.500 0.000
Y1 0.084 0.416 0.748
Y2 0.252 0.252 0.252
Y3 0.416 0.084 0.748
Y4 0.584 0.916 0.252
Y5 0.748 0.748 0.748
Y6 0.916 0.584 0.252
Tm1 0.000 0.000 0.500
Tm2 0.333 0.667 0.500
Tm3 0.667 0.333 0.500

Values from the calculation:
Symmetry: C2/m (12)
Total moment: 1.1 μB per cell
Uncorrected energy: -5.573 eV/atom

Entry 3:
Computed, not measured: Ti2Zn6Ni after structural relaxation at the PBE-GGA level of DFT.

abc: 6.281 6.281 3.905
angles: 90.00 90.00 118.54
Sites, in units of the cell vectors:
Ti1 0.209 0.791 0.000
Ti2 0.791 0.209 0.000
Zn1 0.162 0.445 0.500
Zn2 0.264 0.264 0.000
Zn3 0.445 0.162 0.500
Zn4 0.555 0.838 0.500
Zn5 0.736 0.736 0.000
Zn6 0.838 0.555 0.500
Ni1 0.000 0.000 0.500

Values from the calculation:
Symmetry: Cmmm (65)
Total moment: 0.0 μB per cell
Uncorrected energy: -3.369 eV/atom

Entry 4:
Computed, not measured: Hg2CF after structural relaxation at the PBE-GGA level of DFT.

abc: 6.761 6.761 6.761
angles: 132.37 132.37 69.64
Sites, in units of the cell vectors:
Hg1 0.053 0.625 0.928
Hg2 0.375 0.303 0.428
Hg3 0.697 0.125 0.072
Hg4 0.875 0.947 0.572
C1 0.000 0.000 0.000
C2 0.750 0.250 0.500
F1 0.250 0.750 0.500
F2 0.500 0.500 0.000

Values from the calculation:
Symmetry: I-42d (122)
Excess energy over the best structure of this formula in the dataset: 0.000 eV per atom
Total moment: 2.0 μB per cell
Uncorrected energy: -2.477 eV/atom

Entry 5:
Computed, not measured: YSiAs2Br after structural relaxation at the PBE-GGA level of DFT.

abc: 4.839 4.839 5.040
angles: 90.00 90.00 90.00
Sites, in units of the cell vectors:
Y1 0.000 0.000 0.000
Si1 0.500 0.500 0.500
As1 0.000 0.500 0.500
As2 0.500 0.000 0.500
Br1 0.500 0.500 0.000

Values from the calculation:
Symmetry: P4/mmm (123)
Excess energy over the best structure of this formula in the dataset: 0.000 eV per atom
Total moment: 0.0 μB per cell
Uncorrected energy: -4.705 eV/atom

Entry 6:
Computed, not measured: Dy7Y after structural relaxation at the PBE-GGA level of DFT.

abc: 7.086 7.086 7.086
angles: 60.00 60.00 60.00
Sites, in units of the cell vectors:
Dy1 0.000 0.000 0.000
Dy2 0.000 0.000 0.500
Dy3 0.000 0.500 0.000
Dy4 0.000 0.500 0.500
Dy5 0.500 0.000 0.000
Dy6 0.500 0.000 0.500
Dy7 0.500 0.500 0.000
Y1 0.500 0.500 0.500

Values from the calculation:
Symmetry: Fm-3m (225)
Excess energy over the best structure of this formula in the dataset: 0.000 eV per atom
Total moment: 0.0 μB per cell
Uncorrected energy: -4.815 eV/atom

Entry 7:
Computed, not measured: Pm4AuCCl2 after structural relaxation at the PBE-GGA level of DFT.

abc: 7.118 3.909 7.416
angles: 90.00 108.23 90.00
Sites, in units of the cell vectors:
Pm1 0.205 0.000 0.206
Pm2 0.220 0.500 0.787
Pm3 0.780 0.500 0.213
Pm4 0.795 0.000 0.794
Au1 0.000 0.000 0.500
C1 0.000 0.500 0.000
Cl1 0.500 0.000 0.000
Cl2 0.500 0.500 0.500

Values from the calculation:
Symmetry: P2/m (10)
Total moment: 0.0 μB per cell
Uncorrected energy: -5.376 eV/atom

Entry 8:
Computed, not measured: La2Nd3Se8 after structural relaxation at the PBE-GGA level of DFT.

abc: 8.576 8.576 7.246
angles: 107.14 107.14 60.50
Sites, in units of the cell vectors:
La1 0.236 0.236 0.155
La2 0.764 0.764 0.845
Nd1 0.237 0.763 0.500
Nd2 0.500 0.500 0.000
Nd3 0.763 0.237 0.500
Se1 0.124 0.124 0.427
Se2 0.144 0.609 0.086
Se3 0.383 0.383 0.571
Se4 0.391 0.856 0.914
Se5 0.609 0.144 0.086
Se6 0.617 0.617 0.429
Se7 0.856 0.391 0.914
Se8 0.876 0.876 0.573

Values from the calculation:
Symmetry: C2/m (12)
Total moment: 0.0 μB per cell
Uncorrected energy: -5.760 eV/atom